The following is a DFT calculation (GGA-PBE) of crystalline Rb2Na6Hg3 at its relaxed geometry.

Structure (POSCAR):
```
Rb2Na6Hg3
1.0
5.302 0.000 0.000
0.000 9.652 0.000
0.000 -4.826 8.359
Hg Rb Na
3 2 6
Direct
0.500 0.616 0.000
0.500 0.384 0.384
0.500 0.000 0.616
0.000 0.333 0.667
0.000 0.667 0.333
0.500 0.284 0.000
0.500 0.000 0.284
0.000 0.792 0.000
0.500 0.716 0.716
0.000 0.208 0.208
0.000 0.000 0.792
```

Computed properties:
Its space group is P-62m. The value obtained for the energy of formation from the pure elements is -0.111 eV/atom. The total energy comes out at -12.0 eV per formula unit. The calculated volume is 428 Å³/cell.